Material: KNbNiO4
Method: DFT, PBE+U
State: relaxed

Cell lengths 5.4324, 5.9054, 8.0272 Å; angles 90.00, 93.39, 90.00 degrees
Element x y z (fractional)
K (0.1706, 0.2500, 0.4399)
K (0.8294, 0.7500, 0.5601)
Nb (0.3626, 0.7500, 0.2309)
Nb (0.6374, 0.2500, 0.7691)
Ni (0.0834, 0.2500, 0.9768)
Ni (0.9166, 0.7500, 0.0232)
O (0.1838, 0.5032, 0.1285)
O (0.1838, 0.9968, 0.1285)
O (0.2972, 0.2500, 0.7880)
O (0.3087, 0.7500, 0.4539)
O (0.6913, 0.2500, 0.5461)
O (0.7028, 0.7500, 0.2120)
O (0.8162, 0.0032, 0.8715)
O (0.8162, 0.4968, 0.8715)

## Properties
The value obtained for the total energy is -94.375 eV/cell. The symmetry is No. 11.